Material: InAgN3
Method: DFT, PBE-GGA
State: relaxed

Calculated values
As for the formation energy from raw total energies: 2169 meV per atom.

Lattice parameters (Å, degrees): 4.104 4.104 4.104 90.00 90.00 90.00
Positions (direct):
In 0.000 0.000 0.000
Ag 0.500 0.500 0.500
N 0.000 0.500 0.500
N 0.500 0.000 0.500
N 0.500 0.500 0.000

=====

Material: Dy5MgIn
Method: DFT, PBE-GGA
State: relaxed

Calculated values
As for the energy of formation: 0.000 eV/atom.

Lattice parameters (Å, degrees): 6.180 6.180 11.497 101.70 101.70 94.20
Positions (direct):
Dy 0.002 0.411 0.840
Dy 0.132 0.868 0.750
Dy 0.240 0.531 0.465
Dy 0.411 0.002 0.340
Dy 0.469 0.760 0.035
Dy 0.531 0.240 0.965
Dy 0.589 0.998 0.660
Dy 0.760 0.469 0.535
Dy 0.868 0.132 0.250
Dy 0.998 0.589 0.160
Mg 0.000 0.000 0.000
Mg 0.000 0.000 0.500
In 0.483 0.517 0.750
In 0.517 0.483 0.250

=====

Material: Nd2DyAgTe5
Method: DFT, PBE-GGA
State: relaxed

Calculated values
As for the formation energy from raw total energies: -1184 meV per atom.

Lattice parameters (Å, degrees): 9.725 9.725 13.317 90.00 90.00 153.89
Positions (direct):
Nd 0.111 0.889 0.500
Nd 0.126 0.874 0.118
Nd 0.874 0.126 0.618
Nd 0.889 0.111 0.000
Dy 0.192 0.808 0.822
Dy 0.808 0.192 0.322
Ag 0.431 0.569 0.274
Ag 0.569 0.431 0.774
Te 0.043 0.957 0.891
Te 0.286 0.714 0.481
Te 0.306 0.694 0.154
Te 0.356 0.644 0.812
Te 0.499 0.501 0.593
Te 0.501 0.499 0.093
Te 0.644 0.356 0.312
Te 0.694 0.306 0.654
Te 0.714 0.286 0.981
Te 0.957 0.043 0.391

=====

Material: BaTi2V
Method: DFT, PBE-GGA
State: relaxed

Calculated values
As for the energy of formation: 0.316 eV/atom. The value obtained for the energy above the lowest structure with this stoichiometry is 16 kJ/mol of formula units.

Lattice parameters (Å, degrees): 3.280 5.087 12.807 78.98 89.73 71.23
Positions (direct):
Ba 0.076 0.337 0.371
Ba 0.924 0.663 0.629
Ti 0.226 0.055 0.817
Ti 0.476 0.543 0.117
Ti 0.524 0.457 0.883
Ti 0.774 0.945 0.183
V 0.167 0.164 0.031
V 0.833 0.836 0.969

=====

Calculated calculated total energy, -3.944; -3.906; -4.817; -6.392 eV/atom (same order as the records).